[1]
# Rb2HgSbBr6, optimized geometry, DFT GGA-PBEsol
# - mass density (g cm⁻³) = 4.49
# - uncorrected formation energy (eV per atom) = -0.982
# - DFT total energy (eV/atom) = -2.82
# - spin magnetization (μB per cell) = 0.000
# - SG = Fm-3m, No. 225
data_Rb2HgSbBr6
_space_group_name_H-M_alt 'P 1'
_space_group_IT_number 1
_space_group_name_Hall 'P 1'
_cell_length_a 7.986
_cell_length_b 7.986
_cell_length_c 7.986
_cell_angle_alpha 60.00
_cell_angle_beta 60.00
_cell_angle_gamma 60.00
loop_
_atom_site_label
_atom_site_type_symbol
_atom_site_fract_x
_atom_site_fract_y
_atom_site_fract_z
Rb1 Rb 0.250 0.250 0.250
Rb2 Rb 0.750 0.750 0.750
Hg1 Hg 0.000 0.000 0.000
Sb1 Sb 0.500 0.500 0.500
Br1 Br 0.255 0.255 0.745
Br2 Br 0.255 0.745 0.255
Br3 Br 0.255 0.745 0.745
Br4 Br 0.745 0.255 0.255
Br5 Br 0.745 0.255 0.745
Br6 Br 0.745 0.745 0.255

***

[2]
# TiGeTe2I, optimized geometry, DFT GGA-PBEsol
# - mass density (g cm⁻³) = 5.58
# - uncorrected formation energy (eV per atom) = 0.161
# - DFT total energy (eV/atom) = -4.26
# - spin magnetization (μB per cell) = 1.156
# - SG = P4/mmm, No. 123
data_TiGeTe2I
_space_group_name_H-M_alt 'P 1'
_space_group_IT_number 1
_space_group_name_Hall 'P 1'
_cell_length_a 5.299
_cell_length_b 5.299
_cell_length_c 5.326
_cell_angle_alpha 90.00
_cell_angle_beta 90.00
_cell_angle_gamma 90.00
loop_
_atom_site_label
_atom_site_type_symbol
_atom_site_fract_x
_atom_site_fract_y
_atom_site_fract_z
Ti1 Ti 0.000 0.000 0.000
Ge1 Ge 0.500 0.500 0.500
Te1 Te 0.000 0.500 0.000
Te2 Te 0.500 0.000 0.000
I1 I 0.000 0.000 0.500

***

[3]
# SrCoSbTe2, optimized geometry, DFT GGA-PBEsol
# - mass density (g cm⁻³) = 4.24
# - uncorrected formation energy (eV per atom) = 1.268
# - DFT total energy (eV/atom) = -2.97
# - spin magnetization (μB per cell) = 2.470
# - SG = P4/mmm, No. 123
data_SrCoSbTe2
_space_group_name_H-M_alt 'P 1'
_space_group_IT_number 1
_space_group_name_Hall 'P 1'
_cell_length_a 5.910
_cell_length_b 5.910
_cell_length_c 5.867
_cell_angle_alpha 90.00
_cell_angle_beta 90.00
_cell_angle_gamma 90.00
loop_
_atom_site_label
_atom_site_type_symbol
_atom_site_fract_x
_atom_site_fract_y
_atom_site_fract_z
Sr1 Sr 0.000 0.000 0.000
Co1 Co 0.500 0.500 0.500
Sb1 Sb 0.000 0.000 0.500
Te1 Te 0.000 0.500 0.000
Te2 Te 0.500 0.000 0.000

***

[4]
# SnTe2Se, optimized geometry, DFT GGA-PBEsol
# - mass density (g cm⁻³) = 5.73
# - uncorrected formation energy (eV per atom) = 0.148
# - DFT total energy (eV/atom) = -3.64
# - spin magnetization (μB per cell) = 0.000
# - SG = I-42d, No. 122
data_SnTe2Se
_space_group_name_H-M_alt 'P 1'
_space_group_IT_number 1
_space_group_name_Hall 'P 1'
_cell_length_a 5.475
_cell_length_b 5.475
_cell_length_c 17.515
_cell_angle_alpha 90.00
_cell_angle_beta 90.00
_cell_angle_gamma 90.00
loop_
_atom_site_label
_atom_site_type_symbol
_atom_site_fract_x
_atom_site_fract_y
_atom_site_fract_z
Sn1 Sn 0.000 0.000 0.000
Sn2 Sn 0.000 0.500 0.250
Sn3 Sn 0.500 0.000 0.750
Sn4 Sn 0.500 0.500 0.500
Te1 Te 0.223 0.250 0.625
Te2 Te 0.250 0.723 0.875
Te3 Te 0.250 0.777 0.375
Te4 Te 0.277 0.250 0.125
Te5 Te 0.723 0.750 0.125
Te6 Te 0.750 0.223 0.375
Te7 Te 0.750 0.277 0.875
Te8 Te 0.777 0.750 0.625
Se1 Se 0.000 0.000 0.500
Se2 Se 0.000 0.500 0.750
Se3 Se 0.500 0.000 0.250
Se4 Se 0.500 0.500 0.000

***

[5]
# CdCoIr, optimized geometry, DFT GGA-PBEsol
# - mass density (g cm⁻³) = 14.02
# - formation energy from the elements (eV per atom) = 0.164
# - DFT total energy (eV/atom) = -6.09
# - spin magnetization (μB per cell) = 2.708
# - SG = I4mm, No. 107
data_CdCoIr
_space_group_name_H-M_alt 'P 1'
_space_group_IT_number 1
_space_group_name_Hall 'P 1'
_cell_length_a 2.762
_cell_length_b 2.762
_cell_length_c 11.290
_cell_angle_alpha 90.00
_cell_angle_beta 90.00
_cell_angle_gamma 90.00
loop_
_atom_site_label
_atom_site_type_symbol
_atom_site_fract_x
_atom_site_fract_y
_atom_site_fract_z
Cd1 Cd 0.000 0.000 0.000
Cd2 Cd 0.500 0.500 0.500
Co1 Co 0.000 0.000 0.325
Co2 Co 0.500 0.500 0.825
Ir1 Ir 0.000 0.000 0.690
Ir2 Ir 0.500 0.500 0.190

***

[6]
# SrInAg, optimized geometry, DFT GGA-PBEsol
# - mass density (g cm⁻³) = 5.87
# - formation energy from the elements (eV per atom) = -0.191
# - DFT total energy (eV/atom) = -2.90
# - spin magnetization (μB per cell) = 0.001
# - SG = F-43m, No. 216
data_SrInAg
_space_group_name_H-M_alt 'P 1'
_space_group_IT_number 1
_space_group_name_Hall 'P 1'
_cell_length_a 7.055
_cell_length_b 7.055
_cell_length_c 7.055
_cell_angle_alpha 90.00
_cell_angle_beta 90.00
_cell_angle_gamma 90.00
loop_
_atom_site_label
_atom_site_type_symbol
_atom_site_fract_x
_atom_site_fract_y
_atom_site_fract_z
Sr1 Sr 0.000 0.000 0.000
Sr2 Sr 0.000 0.500 0.500
Sr3 Sr 0.500 0.000 0.500
Sr4 Sr 0.500 0.500 0.000
In1 In 0.000 0.000 0.500
In2 In 0.000 0.500 0.000
In3 In 0.500 0.000 0.000
In4 In 0.500 0.500 0.500
Ag1 Ag 0.250 0.250 0.750
Ag2 Ag 0.250 0.750 0.250
Ag3 Ag 0.750 0.250 0.250
Ag4 Ag 0.750 0.750 0.750